PmNd2Dy4Ho after structural relaxation. Source: Alexandria via LeMat-Bulk, functional GGA-PBE.

crystal system = orthorhombic

Geometry as POSCAR:
```
PmNd2Dy4Ho
1.0
-3.416 5.929 6.647
3.416 -5.929 6.647
3.416 5.929 -6.647
Pm Nd Dy Ho
2 4 8 2
Cartesian
0.000 0.000 0.000
0.000 5.929 0.000
3.416 0.000 0.000
-1.708 2.964 3.324
0.000 0.000 6.647
1.708 2.964 3.324
1.706 2.964 -0.058
3.416 5.884 -3.326
1.710 -2.964 6.590
3.416 -0.045 3.326
0.000 5.974 3.321
1.706 8.893 0.058
0.000 0.045 9.973
1.710 2.964 6.705
1.708 2.964 -3.324
1.708 -2.964 3.324
```

***

PmNd6Dy3Ho2 after structural relaxation. Source: Alexandria via LeMat-Bulk, functional GGA-PBE.

crystal system = monoclinic

Geometry as POSCAR:
```
PmNd6Dy3Ho2
1.0
3.141 -5.440 0.000
3.141 5.440 0.000
-2.087 0.000 11.721
Pm Nd Dy Ho
1 6 3 2
Cartesian
0.000 0.000 0.000
1.054 1.817 2.940
0.005 0.000 8.783
1.054 -1.817 2.940
3.141 1.817 8.781
4.190 0.000 2.938
3.141 -1.817 8.781
2.097 3.625 5.860
2.097 0.000 5.860
2.097 -3.625 5.860
3.141 1.812 0.000
3.141 -1.812 0.000
```

***

PmNd3Dy6Ho2 after structural relaxation. Source: Alexandria via LeMat-Bulk, functional GGA-PBE.

crystal system = monoclinic

Geometry as POSCAR:
```
PmNd3Dy6Ho2
1.0
3.106 -5.377 0.000
3.106 5.377 0.000
-2.062 0.000 11.664
Pm Nd Dy Ho
1 3 6 2
Cartesian
0.000 0.000 0.000
2.075 3.582 5.832
2.075 0.000 5.832
2.075 -3.582 5.832
1.041 1.795 2.883
0.007 0.000 8.782
1.041 -1.795 2.883
3.108 1.795 8.782
4.142 0.000 2.882
3.108 -1.795 8.782
3.106 1.793 0.000
3.106 -1.793 0.000
```

***

Pm2Nd2Dy2Ho after structural relaxation. Source: Alexandria via LeMat-Bulk, functional GGA-PBE.

crystal system = trigonal

Geometry as POSCAR:
```
Pm2Nd2Dy2Ho
1.0
2.867 1.655 8.240
-2.867 1.655 8.240
0.000 -3.311 8.240
Pm Nd Dy Ho
2 2 2 1
Cartesian
0.000 0.000 5.308
0.000 0.000 19.413
0.000 0.000 8.923
0.000 0.000 15.798
0.000 0.000 1.770
0.000 0.000 22.950
0.000 0.000 12.360
```

***

Pm2Nd2DyHo2 after structural relaxation. Source: Alexandria via LeMat-Bulk, functional GGA-PBE.

crystal system = trigonal

Geometry as POSCAR:
```
Pm2Nd2DyHo2
1.0
2.869 1.656 8.211
-2.869 1.656 8.211
0.000 -3.313 8.211
Pm Nd Dy Ho
2 2 1 2
Cartesian
0.000 0.000 5.333
0.000 0.000 19.301
0.000 0.000 8.898
0.000 0.000 15.736
0.000 0.000 12.317
0.000 0.000 1.777
0.000 0.000 22.857
```

***

PmNd5DyHo2 after structural relaxation. Source: Alexandria via LeMat-Bulk, functional GGA-PBE.

crystal system = orthorhombic

Geometry as POSCAR:
```
PmNd5DyHo2
1.0
2.838 -10.224 0.000
2.838 10.224 0.000
0.000 0.000 10.743
Pm Nd Dy Ho
2 10 2 4
Cartesian
2.838 6.120 5.372
2.838 -6.120 0.000
2.838 9.890 5.495
2.838 4.482 8.596
2.838 4.159 2.088
2.838 2.246 5.532
2.838 0.406 2.502
2.838 -0.406 7.874
2.838 -2.246 0.161
2.838 -4.159 7.459
2.838 -4.482 3.224
2.838 -9.890 0.123
2.838 1.840 10.188
2.838 -1.840 4.816
2.838 7.955 2.451
2.838 7.850 8.663
2.838 -7.850 3.291
2.838 -7.955 7.823
```

***

Pm3Nd2Dy6Ho after structural relaxation. Source: Alexandria via LeMat-Bulk, functional GGA-PBE.

crystal system = monoclinic

Geometry as POSCAR:
```
Pm3Nd2Dy6Ho
1.0
3.113 -5.390 0.000
3.113 5.390 0.000
-2.068 0.000 11.675
Pm Nd Dy Ho
3 2 6 1
Cartesian
0.000 0.000 0.000
3.113 1.797 0.000
3.113 -1.797 0.000
2.079 3.595 5.838
2.079 -3.595 5.838
1.040 1.793 2.925
0.012 0.000 8.754
1.040 -1.793 2.925
3.118 1.793 8.751
4.146 0.000 2.921
3.118 -1.793 8.751
2.079 0.000 5.838
```

***

PmNd6Dy2Ho3 after structural relaxation. Source: Alexandria via LeMat-Bulk, functional GGA-PBE.

crystal system = monoclinic

Geometry as POSCAR:
```
PmNd6Dy2Ho3
1.0
3.140 -5.438 0.000
3.140 5.438 0.000
-2.086 0.000 11.708
Pm Nd Dy Ho
1 6 2 3
Cartesian
0.000 0.000 0.000
1.053 1.816 2.946
0.005 0.000 8.763
1.053 -1.816 2.946
3.141 1.816 8.762
4.189 0.000 2.945
3.141 -1.816 8.762
3.140 1.812 0.000
3.140 -1.812 0.000
2.097 3.624 5.854
2.097 0.000 5.854
2.097 -3.624 5.854
```

***

PmNdDy2Ho2 after structural relaxation. Source: Alexandria via LeMat-Bulk, functional GGA-PBE.

crystal system = orthorhombic

Geometry as POSCAR:
```
PmNdDy2Ho2
1.0
6.597 0.000 0.000
0.000 17.809 0.000
0.000 0.000 3.404
Pm Nd Dy Ho
2 2 4 4
Cartesian
0.000 0.000 0.000
3.298 8.904 1.702
0.000 8.904 0.000
3.298 0.000 1.702
1.506 3.283 0.000
1.792 12.188 1.702
4.805 5.621 1.702
5.091 14.525 0.000
1.498 6.230 1.702
1.800 15.135 0.000
4.796 2.674 0.000
5.099 11.579 1.702
```

***

PmNdDy3Ho after structural relaxation. Source: Alexandria via LeMat-Bulk, functional GGA-PBE.

crystal system = monoclinic

Geometry as POSCAR:
```
PmNdDy3Ho
1.0
9.874 -2.838 0.000
9.874 2.838 0.000
-0.017 0.000 7.038
Pm Nd Dy Ho
2 2 6 2
Cartesian
2.905 0.000 0.216
16.826 0.000 6.822
8.816 0.000 5.219
10.916 0.000 1.819
0.422 0.000 5.239
5.525 0.000 5.296
6.581 0.000 1.836
13.150 0.000 5.202
14.207 0.000 1.742
19.310 0.000 1.799
2.944 0.000 3.255
16.787 0.000 3.783
```

***

PmNd2Dy3Ho6 after structural relaxation. Source: Alexandria via LeMat-Bulk, functional GGA-PBE.

crystal system = monoclinic

Geometry as POSCAR:
```
PmNd2Dy3Ho6
1.0
3.091 -5.350 0.000
3.091 5.350 0.000
-2.052 0.000 11.599
Pm Nd Dy Ho
1 2 3 6
Cartesian
0.000 0.000 0.000
3.091 1.783 0.000
3.091 -1.783 0.000
2.065 3.567 5.800
2.065 0.000 5.800
2.065 -3.567 5.800
1.037 1.783 2.938
0.001 0.000 8.660
1.037 -1.783 2.938
3.093 1.783 8.661
4.129 0.000 2.939
3.093 -1.783 8.661
```

***

PmNdDy2Ho after structural relaxation. Source: Alexandria via LeMat-Bulk, functional GGA-PBE.

crystal system = orthorhombic

Geometry as POSCAR:
```
PmNdDy2Ho
1.0
4.214 -5.779 0.000
4.214 5.779 0.000
0.000 0.000 7.170
Pm Nd Dy Ho
2 2 4 2
Cartesian
4.214 5.753 5.377
4.214 -5.753 1.792
4.214 2.646 5.377
4.214 -2.646 1.792
2.636 0.000 0.000
2.636 0.000 3.585
5.792 0.000 0.000
5.792 0.000 3.585
4.214 2.579 1.792
4.214 -2.579 5.377
```

***

E_form
In order: 3.31, 0.14, 0.19, 0.92, 0.91, 1.30, 0.16, 0.15, 1.67, 1.13, 0.21, 1.93
Unit: eV per formula unit